# Zn2CCl (PBE, relaxed)
data_Zn2CCl
_chemical_formula_sum 'Zn4 C2 Cl2'
_cell_length_a 3.7151
_cell_length_b 5.7065
_cell_length_c 8.6501
_cell_angle_alpha 75.79
_cell_angle_beta 83.42
_cell_angle_gamma 81.38
_space_group_name_H-M_alt 'P 1'
_space_group_IT_number 1
loop_
_space_group_symop_operation_xyz
'x,y,z'
loop_
_atom_site_label
_atom_site_fract_x
_atom_site_fract_y
_atom_site_fract_z
Zn1 0.0000 0.0000 0.0000
Zn2 0.1206 0.4308 0.5743
Zn3 0.4278 0.6511 0.9743
Zn4 0.5861 0.9832 0.2421
C1 0.7975 0.3925 0.9157
C2 0.9869 0.3189 0.8016
Cl1 0.1576 0.3176 0.3397
Cl2 0.5377 0.7263 0.5243
# formation energy from raw total energies = 0.094 eV/atom
# VASP energy = -3.3101 eV/atom
# energy relative to the lowest polymorph listed for this composition = 0.036 eV/atom
# volume = 87.6 Å³/f.u.